1.
A PBEsol-optimized structure of NaCo2P3O10, computed with meta-GGA SCAN.

Values from the calculation:
- total energy (eV per atom) = -10.443
- space-group type = No. 11

Structure (POSCAR):
```
NaCo2P3O10
1.0
4.7793 0.0000 0.0000
0.0000 8.2721 0.0000
-1.2277 0.0000 8.8753
Na Co P O
2 4 6 20
Cartesian
0.0000 0.0000 0.0000 Na
0.0000 4.1360 0.0000 Na
-0.2273 0.6930 3.0861 Co
-0.2273 3.4431 3.0861 Co
3.7788 4.8290 5.7893 Co
3.7788 7.5791 5.7893 Co
0.5904 2.0680 7.2242 P
1.2957 6.2041 4.0428 P
2.0560 2.0680 1.3820 P
1.4955 6.2041 7.4933 P
2.2559 2.0680 4.8326 P
2.9611 6.2041 1.6512 P
-0.1705 0.7868 7.0374 O
-0.1705 3.3492 7.0374 O
0.1025 6.2041 6.8262 O
0.4867 4.9294 4.3077 O
0.4867 7.4787 4.3077 O
0.8922 2.0680 4.1275 O
1.2588 0.7995 1.6252 O
1.2588 3.3366 1.6252 O
1.5982 6.2041 2.4707 O
2.2643 6.2041 0.1943 O
1.2873 2.0680 8.6810 O
1.9533 2.0680 6.4046 O
2.2927 4.9355 7.2501 O
2.2927 7.4726 7.2501 O
2.6593 6.2041 4.7479 O
3.0649 0.7933 4.5677 O
3.0649 3.3427 4.5677 O
3.4491 2.0680 2.0492 O
3.7221 4.9228 1.8379 O
3.7221 7.4853 1.8379 O
```


2.
A PBEsol-optimized structure of K3TaN, computed with meta-GGA SCAN.

Values from the calculation:
- total energy (eV per atom) = -18.007
- space-group type = No. 221

Structure (POSCAR):
```
K3TaN
1.0
6.6630 0.0000 0.0000
0.0000 6.6630 0.0000
0.0000 0.0000 6.6630
K Ta N
3 1 1
Cartesian
0.0000 0.0000 3.3315 K
0.0000 3.3315 0.0000 K
3.3315 0.0000 0.0000 K
0.0000 0.0000 0.0000 Ta
3.3315 3.3315 3.3315 N
```


3.
A PBEsol-optimized structure of LiMgTa2, computed with meta-GGA SCAN.

Values from the calculation:
- DFT formation energy (eV/atom) = 0.498
- space-group type = No. 123

Structure (POSCAR):
```
LiMgTa2
1.0
2.7437 0.0000 0.0000
0.0000 2.7437 0.0000
0.0000 0.0000 9.1061
Li Mg Ta
1 1 2
Cartesian
0.0000 0.0000 0.0000 Li
0.0000 0.0000 4.5531 Mg
1.3719 1.3719 2.1433 Ta
1.3719 1.3719 6.9628 Ta
```


4.
A PBEsol-optimized structure of NbTeCl2, computed with meta-GGA SCAN.

Values from the calculation:
- total energy (eV per atom) = -21.271
- space-group type = No. 225

Structure (POSCAR):
```
NbTeCl2
1.0
0.0000 3.3672 3.3672
3.3672 0.0000 3.3672
3.3672 3.3672 0.0000
Nb Te Cl
1 1 2
Cartesian
0.0000 0.0000 0.0000 Nb
3.3672 3.3672 3.3672 Te
1.6836 1.6836 1.6836 Cl
5.0508 5.0508 5.0508 Cl
```


5.
A PBEsol-optimized structure of Nb3SiNi, computed with meta-GGA SCAN.

Values from the calculation:
- total energy (eV per atom) = -24.162
- space-group type = No. 221

Structure (POSCAR):
```
Nb3SiNi
1.0
4.5746 0.0000 0.0000
0.0000 4.5746 0.0000
0.0000 0.0000 4.5746
Nb Si Ni
3 1 1
Cartesian
0.0000 0.0000 2.2873 Nb
0.0000 2.2873 0.0000 Nb
2.2873 0.0000 0.0000 Nb
0.0000 0.0000 0.0000 Si
2.2873 2.2873 2.2873 Ni
```


6.
A PBEsol-optimized structure of LaCrCl, computed with meta-GGA SCAN.

Values from the calculation:
- total energy (eV per atom) = -23.705
- space-group type = No. 156

Structure (POSCAR):
```
LaCrCl
1.0
3.4715 0.0000 0.0000
-1.7358 3.0064 0.0000
0.0000 0.0000 6.8580
La Cr Cl
1 1 1
Cartesian
0.0000 0.0000 0.0000 La
1.7358 1.0021 2.5366 Cr
0.0000 2.0043 4.6422 Cl
```


7.
A PBEsol-optimized structure of Sc4TcTe, computed with meta-GGA SCAN.

Values from the calculation:
- total energy (eV per atom) = -21.171
- space-group type = No. 216

Structure (POSCAR):
```
Sc4TcTe
1.0
0.0000 3.9231 3.9231
3.9231 0.0000 3.9231
3.9231 3.9231 0.0000
Sc Tc Te
4 1 1
Cartesian
2.9610 2.9610 2.9610 Sc
4.8853 4.8853 2.9610 Sc
4.8853 2.9610 4.8853 Sc
2.9610 4.8853 4.8853 Sc
5.8847 5.8847 5.8847 Tc
0.0000 0.0000 0.0000 Te
```


8.
A PBEsol-optimized structure of AlRe2W, computed with meta-GGA SCAN.

Values from the calculation:
- DFT formation energy (eV/atom) = -0.214
- space-group type = No. 44

Structure (POSCAR):
```
AlRe2W
1.0
-1.5564 2.1360 4.3877
1.5564 -2.1360 4.3877
1.5564 2.1360 -4.3877
Al Re W
1 2 1
Cartesian
0.0000 0.0000 0.0000 Al
1.5564 0.0000 2.1983 Re
0.0000 0.0000 4.3694 Re
0.0000 2.1360 2.1351 W
```


9.
A PBEsol-optimized structure of Mg2ZrCd, computed with meta-GGA SCAN.

Values from the calculation:
- DFT formation energy (eV/atom) = -0.111
- space-group type = No. 99

Structure (POSCAR):
```
Mg2ZrCd
1.0
3.1457 0.0000 0.0000
0.0000 3.1457 0.0000
0.0000 0.0000 8.5504
Mg Zr Cd
2 1 1
Cartesian
0.0000 0.0000 0.0000 Mg
1.5729 1.5729 2.2226 Mg
0.0000 0.0000 4.4337 Zr
1.5729 1.5729 6.5543 Cd
```


10.
A PBEsol-optimized structure of Nd5Si4, computed with meta-GGA SCAN.

Values from the calculation:
- total energy (eV per atom) = -29.399
- space-group type = No. 92

Structure (POSCAR):
```
Nd5Si4
1.0
7.8078 0.0000 0.0000
0.0000 7.8078 0.0000
0.0000 0.0000 14.8666
Nd Si
20 16
Cartesian
0.0855 2.9240 0.7381 Nd
0.1307 6.8058 1.8486 Nd
0.9800 3.9894 4.4548 Nd
1.0020 7.6771 5.5847 Nd
1.4827 6.3251 11.1499 Nd
2.4212 2.4212 7.4333 Nd
2.9019 3.7732 12.9985 Nd
2.9240 0.0855 14.1285 Nd
3.7732 2.9019 1.8681 Nd
3.8184 6.8279 2.9785 Nd
3.9894 0.9800 10.4118 Nd
4.0346 4.9059 9.3014 Nd
4.8839 7.7223 6.6952 Nd
4.9059 4.0346 5.5652 Nd
5.3867 5.3867 0.0000 Nd
6.3251 1.4827 3.7166 Nd
6.8058 0.1307 13.0180 Nd
6.8279 3.8184 11.8881 Nd
7.6771 1.0020 9.2819 Nd
7.7223 4.8839 8.1714 Nd
0.5886 5.5468 13.9801 Si
1.3024 1.5415 11.9115 Si
1.5415 1.3024 2.9551 Si
1.6429 3.3153 10.2634 Si
2.2610 7.2192 8.3198 Si
2.3624 5.2063 0.7616 Si
2.6016 5.4454 6.6717 Si
3.3153 1.6429 4.6032 Si
4.4926 6.1650 12.0365 Si
5.2063 2.3624 14.1050 Si
5.4454 2.6016 8.1949 Si
5.5468 0.5886 0.8865 Si
6.1650 4.4926 2.8301 Si
6.2663 6.5055 10.3884 Si
6.5055 6.2663 4.4782 Si
7.2192 2.2610 6.5468 Si
```


11.
A PBEsol-optimized structure of SiHg2Ir, computed with meta-GGA SCAN.

Values from the calculation:
- total energy (eV per atom) = -54.120
- space-group type = No. 44

Structure (POSCAR):
```
SiHg2Ir
1.0
-1.4534 2.3405 5.6862
1.4534 -2.3405 5.6862
1.4534 2.3405 -5.6862
Si Hg Ir
1 2 1
Cartesian
0.0000 0.0000 0.0000 Si
0.0000 0.0000 4.4065 Hg
0.0000 2.3405 2.1450 Hg
1.4534 0.0000 1.8508 Ir
```


12.
A PBEsol-optimized structure of Ca2ScW2, computed with meta-GGA SCAN.

Values from the calculation:
- DFT formation energy (eV/atom) = 1.127
- space-group type = No. 139

Structure (POSCAR):
```
Ca2ScW2
1.0
-2.0437 2.0437 6.9344
2.0437 -2.0437 6.9344
2.0437 2.0437 -6.9344
Ca Sc W
2 1 2
Cartesian
2.0437 0.0000 3.4672 Ca
0.0000 2.0437 3.4672 Ca
0.0000 0.0000 0.0000 Sc
0.0000 0.0000 5.8023 W
0.0000 0.0000 8.0666 W
```


Number 1: M_tot 6.000 μB/f.u.. Number 2: M_tot 7.901 μB/f.u.. Number 3: M_tot 0.000 μB/f.u.. Number 4: M_tot 0.099 μB/f.u.. Number 5: M_tot 1.178 μB/f.u.. Number 6: M_tot 4.009 μB/f.u.. Number 7: M_tot 0.005 μB/f.u.. Number 8: M_tot 0.000 μB/f.u.. Number 9: M_tot 0.121 μB/f.u.. Number 10: M_tot 0.000 μB/f.u.. Number 11: M_tot 0.000 μB/f.u.. Number 12: M_tot 0.000 μB/f.u..